Record 1
Density functional theory data (PBE) for crystalline AgBiPbF6 at its relaxed geometry.

For the formation energy from raw total energies, the calculation gives -2.086 eV/atom. The value obtained for the total DFT energy (no corrections) is -40.443 eV per formula unit. As for the density of states at the Fermi level: 0.00 states/eV per cell.

Unit cell a=6.1823 b=6.1823 c=10.4928 alpha=90.00 beta=90.00 gamma=120.00
Last column: nearest neighbours and their distance in Å.
Element x y z (fractional)
Ag  0.3333  0.6667  0.2500  6 F 2.51
Ag  0.6667  0.3333  0.7500  6 F 2.51
Bi  0.3333  0.6667  0.7500  6 F 2.29
Bi  0.6667  0.3333  0.2500  6 F 2.29
Pb  0.0000  0.0000  0.0000  6 F 2.49
Pb  0.0000  0.0000  0.5000  6 F 2.49
F  0.0278  0.3484  0.6322  1 Bi 2.29, 1 Pb 2.49, 1 Ag 2.51
F  0.0278  0.6793  0.8678  1 Bi 2.29, 1 Pb 2.49, 1 Ag 2.51
F  0.3207  0.3484  0.8678  1 Bi 2.29, 1 Pb 2.49, 1 Ag 2.51
F  0.3207  0.9722  0.6322  1 Bi 2.29, 1 Pb 2.49, 1 Ag 2.51
F  0.3484  0.0278  0.1322  1 Bi 2.29, 1 Pb 2.49, 1 Ag 2.51
F  0.3484  0.3207  0.3678  1 Bi 2.29, 1 Pb 2.49, 1 Ag 2.51
F  0.6516  0.6793  0.6322  1 Bi 2.29, 1 Pb 2.49, 1 Ag 2.51
F  0.6516  0.9722  0.8678  1 Bi 2.29, 1 Pb 2.49, 1 Ag 2.51
F  0.6793  0.0278  0.3678  1 Bi 2.29, 1 Pb 2.49, 1 Ag 2.51
F  0.6793  0.6516  0.1322  1 Bi 2.29, 1 Pb 2.49, 1 Ag 2.51
F  0.9722  0.3207  0.1322  1 Bi 2.29, 1 Pb 2.49, 1 Ag 2.51
F  0.9722  0.6516  0.3678  1 Bi 2.29, 1 Pb 2.49, 1 Ag 2.51

***

Record 2
Density functional theory data (PBE) for crystalline Ag2BiPbF8 at its relaxed geometry.

For the formation energy from raw total energies, the calculation gives -1.865 eV/atom. The value obtained for the total DFT energy (no corrections) is -50.644 eV per formula unit. As for the density of states at the Fermi level: 5.60 states/eV per cell.

Unit cell a=4.1143 b=5.7725 c=8.2391 alpha=84.90 beta=89.85 gamma=85.30
Last column: nearest neighbours and their distance in Å.
Element x y z (fractional)
Ag  0.0118  0.0065  0.2522  4 F 2.23-2.32
Ag  0.9882  0.9935  0.7478  4 F 2.23-2.32
Bi  0.5000  0.5000  0.0000  8 F 2.34-2.47
Pb  0.5000  0.5000  0.5000  8 F 2.51-2.66
F  0.0345  0.2431  0.5273  1 Ag 2.23
F  0.0338  0.2715  0.0257  1 Ag 2.31, 2 Bi 2.41-2.47
F  0.4528  0.7458  0.2115  1 Ag 2.30, 1 Bi 2.34
F  0.4561  0.7399  0.7504  1 Ag 2.32, 1 Bi 2.37, 1 Pb 2.58
F  0.5439  0.2601  0.2496  1 Ag 2.32, 1 Bi 2.37, 1 Pb 2.58
F  0.5472  0.2542  0.7885  1 Ag 2.30, 1 Bi 2.34
F  0.9662  0.7285  0.9743  1 Ag 2.31, 2 Bi 2.41-2.47
F  0.9655  0.7569  0.4727  1 Ag 2.23

***

Record 3
Density functional theory data (PBE) for crystalline AgBiPdF6 at its relaxed geometry.

For the formation energy from raw total energies, the calculation gives -1.657 eV/atom. The value obtained for the total DFT energy (no corrections) is -38.063 eV per formula unit.

Unit cell a=5.3475 b=5.3475 c=10.8325 alpha=90.00 beta=90.00 gamma=90.00
Last column: nearest neighbours and their distance in Å.
Element x y z (fractional)
Ag  0.0000  0.0000  0.0000  6 F 2.41-2.50
Ag  0.5000  0.5000  0.5000  6 F 2.41-2.50
Bi  0.0000  0.0000  0.6687  6 F 2.28-2.32
Bi  0.5000  0.5000  0.1687  6 F 2.28-2.32
Pd  0.0000  0.0000  0.3338  6 F 2.21-2.23
Pd  0.5000  0.5000  0.8338  6 F 2.21-2.23
F  0.1812  0.1812  0.4964  1 Pd 2.23, 1 Bi 2.32, 1 Ag 2.41
F  0.1982  0.1982  0.1821  1 Pd 2.22, 1 Bi 2.29, 1 Ag 2.48
F  0.2077  0.2077  0.8209  1 Pd 2.21, 1 Bi 2.28
F  0.2923  0.7077  0.3209  1 Pd 2.21, 1 Bi 2.28
F  0.3018  0.6982  0.6821  1 Pd 2.22, 1 Bi 2.29, 1 Ag 2.48
F  0.3188  0.6812  0.9964  1 Pd 2.23, 1 Bi 2.32, 1 Ag 2.41
F  0.6812  0.3188  0.9964  1 Pd 2.23, 1 Bi 2.32, 1 Ag 2.41
F  0.6982  0.3018  0.6821  1 Pd 2.22, 1 Bi 2.29, 1 Ag 2.48
F  0.7077  0.2923  0.3209  1 Pd 2.21, 1 Bi 2.28
F  0.7923  0.7923  0.8209  1 Pd 2.21, 1 Bi 2.28
F  0.8018  0.8018  0.1821  1 Pd 2.22, 1 Bi 2.29, 1 Ag 2.48
F  0.8188  0.8188  0.4964  1 Pd 2.23, 1 Bi 2.32, 1 Ag 2.41